No. 1
The following is a DFT calculation (PBE) of a relaxed CsNaNbO4 crystal.

a b c (Å): 6.393 6.393 6.504
angles (deg): 119.44 119.44 90.00
Site moments in Bohr magnetons follow the coordinates.
Element x y z (fractional)
1 O 0.345 0.742 0.265  0.22
2 O 0.258 0.079 0.735  0.22
3 O 0.477 0.655 0.735  0.22
4 O 0.921 0.523 0.265  0.22
5 Cs 0.000 0.000 0.000  0.00
6 Nb 0.250 0.750 0.500  -0.10
7 Na 0.500 0.500 0.000  0.00

Values from the calculation:
Space group = I-4, No. 82
E_form (uncorrected) = -1.882 eV per atom



No. 2
The following is a DFT calculation (PBE) of a relaxed LiIn2Hg crystal.

a b c (Å): 4.978 4.486 5.663
angles (deg): 90.00 115.99 90.00
Element x y z (fractional)
1 In 0.320 0.000 0.639
2 In 0.680 0.000 0.361
3 Li 0.000 0.000 0.000
4 Hg 0.500 0.500 0.000

Values from the calculation:
Energy of formation = -0.023 eV per atom
Space group = P2/m, No. 10



No. 3
The following is a DFT calculation (PBE) of a relaxed NdPu2Ir9 crystal.

a b c (Å): 5.329 5.329 9.291
angles (deg): 73.34 73.34 60.00
Site moments in Bohr magnetons follow the coordinates.
Element x y z (fractional)
1 Ir 0.667 0.667 0.000  -0.15
2 Ir 0.584 0.081 0.750  -0.24
3 Ir 0.584 0.584 0.750  -0.24
4 Ir 0.416 0.919 0.250  -0.24
5 Ir 0.081 0.584 0.750  -0.24
6 Ir 0.416 0.416 0.250  -0.24
7 Ir 0.333 0.333 0.000  -0.15
8 Ir 0.500 0.500 0.500  -0.36
9 Ir 0.919 0.416 0.250  -0.24
10 Pu 0.140 0.140 0.580  4.85
11 Pu 0.860 0.860 0.420  4.85
12 Nd 0.000 0.000 0.000  0.06

Values from the calculation:
Energy of formation = -0.449 eV per atom
Space group = R-3m, No. 166



No. 4
The following is a DFT calculation (PBE) of a relaxed MoAsOs2 crystal.

a b c (Å): 2.842 3.980 5.389
angles (deg): 90.00 90.00 90.00
Element x y z (fractional)
1 As 0.000 0.000 0.520
2 Os 0.500 0.500 0.221
3 Os 0.000 0.000 0.043
4 Mo 0.500 0.500 0.717

Values from the calculation:
Energy of formation = 0.335 eV per atom
Space group = Pmm2, No. 25



| no. | volume (A^3/atom) |
| --- | --- |
| 1 | 27.31 |
| 2 | 28.42 |
| 3 | 17.97 |
| 4 | 15.24 |